[1]
A plane-wave DFT calculation with GGA-PBE was carried out for a geometry-optimized LiTh2PaSe4 structure.

Cell: 7.082 4.042 7.193 Å, 90.00 108.30 90.00°
Space group P2/m (No. 10)
One atom of each set of equivalent atoms:
1 Li 0.000 0.000 0.000
2 Th 0.500 0.000 0.500
3 Th 0.500 0.500 0.000
4 Pa 0.000 0.500 0.500
5 Se 0.226 0.500 0.233
6 Se 0.231 0.000 0.756

Properties
Crystal system: monoclinic
Uncorrected formation energy (kJ per mole of atoms): -138.3
Magnetization (μB/atom): 0.031

---

[2]
A plane-wave DFT calculation with GGA-PBE was carried out for a geometry-optimized PrTl2SbSe4 structure.

Cell: 8.813 8.851 12.512 Å, 90.00 90.00 90.00°
Space group Imma (No. 74)
One atom of each set of equivalent atoms:
1 Pr 0.000 0.000 0.000
2 Tl 0.000 0.000 0.500
3 Tl 0.250 0.250 0.250
4 Sb 0.250 0.250 0.750
5 Se 0.000 0.028 0.760
6 Se 0.229 0.250 0.984

Properties
Crystal system: orthorhombic
Uncorrected formation energy (kJ per mole of atoms): -80.9
Magnetization (μB/atom): 0.000

---

[3]
A plane-wave DFT calculation with GGA-PBE was carried out for a geometry-optimized Pu2ThAs4 structure.

Cell: 4.261 14.096 12.095 Å, 90.00 90.00 90.00°
Space group Cmcm (No. 63)
One atom of each set of equivalent atoms:
1 Pu 0.000 0.132 0.058
2 Th 0.000 0.395 0.250
3 As 0.000 0.032 0.250
4 As 0.000 0.238 0.644
5 As 0.000 0.500 0.000

Properties
Crystal system: orthorhombic
DFT formation energy (eV/atom): -0.8668
Magnetization (μB/atom): 1.428